Record 1
Below is a geometry-optimized Fe13Rh3 structure, with properties calculated at the GGA-PBE level.

Cell lengths 5.8511, 5.8511, 5.7593 Å; angles 90.00, 90.00, 90.33 degrees
Closest atoms and distances in Å follow each position.
Sites, in units of the cell vectors:
Fe: 0.4958 0.0000 0.2531  7 Fe 2.49-2.54, 1 Rh 2.54
Fe: 0.4965 0.5035 0.2513  7 Fe 2.41-2.50, 1 Rh 2.50
Fe: 0.0000 0.5042 0.2531  7 Fe 2.49-2.54, 1 Rh 2.54
Fe: 0.7403 0.7455 0.0000  6 Fe 2.47-2.54, 2 Rh 2.58
Fe: 0.2545 0.2597 0.0000  6 Fe 2.47-2.54, 2 Rh 2.58
Fe: 0.2587 0.7413 0.0000  6 Fe 2.45-2.51, 2 Rh 2.54
Fe: 0.4958 0.0000 0.7469  7 Fe 2.49-2.54, 1 Rh 2.54
Fe: 0.4965 0.5035 0.7487  7 Fe 2.41-2.50, 1 Rh 2.50
Fe: 0.0000 0.5042 0.7469  7 Fe 2.49-2.54, 1 Rh 2.54
Fe: 0.7440 0.2560 0.5000  6 Fe 2.50-2.52, 2 Rh 2.61
Fe: 0.7374 0.7428 0.5000  6 Fe 2.44-2.52, 2 Rh 2.57
Fe: 0.2572 0.2626 0.5000  6 Fe 2.44-2.52, 2 Rh 2.57
Fe: 0.2626 0.7374 0.5000  6 Fe 2.41-2.49, 2 Rh 2.53
Rh: 0.0090 0.9910 0.2556  7 Fe 2.53-2.61, 2 Rh 2.66-2.81
Rh: 0.7427 0.2573 0.0000  6 Fe 2.50-2.54, 2 Rh 2.66
Rh: 0.0090 0.9910 0.7444  7 Fe 2.53-2.61, 2 Rh 2.66-2.81

## Properties
- E_form (eV/atom) = 0.053
- total DFT energy (no corrections) (eV/f.u.) = -131.214
- magnetic moment (Bohr magnetons per cell) = 30.0

Record 2
Below is a geometry-optimized Fe2Rh5 structure, with properties calculated at the GGA-PBE level.

Cell lengths 4.6659, 6.3810, 6.9443 Å; angles 94.53, 90.00, 111.45 degrees
Closest atoms and distances in Å follow each position.
Sites, in units of the cell vectors:
Fe: 0.7394 0.1419 0.6062  10 Rh 2.60-2.74, 2 Fe 2.66-2.72
Fe: 0.5976 0.8581 0.8938  10 Rh 2.60-2.74, 2 Fe 2.66-2.72
Fe: 0.2606 0.8581 0.3938  10 Rh 2.60-2.74, 2 Fe 2.66-2.72
Fe: 0.4024 0.1419 0.1062  10 Rh 2.60-2.74, 2 Fe 2.66-2.72
Rh: 0.6879 0.7225 0.5383  4 Fe 2.60-2.71, 8 Rh 2.68-2.76
Rh: 0.9654 0.2775 0.9617  4 Fe 2.60-2.71, 8 Rh 2.68-2.76
Rh: 0.8779 0.4288 0.3190  9 Rh 2.65-2.76, 3 Fe 2.66-2.73
Rh: 0.4491 0.5712 0.1810  9 Rh 2.65-2.76, 3 Fe 2.66-2.73
Rh: 0.1221 0.5712 0.6810  9 Rh 2.65-2.76, 3 Fe 2.66-2.73
Rh: 0.5509 0.4288 0.8190  9 Rh 2.65-2.76, 3 Fe 2.66-2.73
Rh: 0.0346 0.7225 0.0383  4 Fe 2.60-2.71, 8 Rh 2.68-2.76
Rh: 0.3121 0.2775 0.4617  4 Fe 2.60-2.71, 8 Rh 2.68-2.76
Rh: 0.1793 0.0000 0.7500  6 Fe 2.64-2.74, 6 Rh 2.65-2.70
Rh: 0.8207 0.0000 0.2500  6 Fe 2.64-2.74, 6 Rh 2.65-2.70

## Properties
- E_form (eV/atom) = -0.016
- total DFT energy (no corrections) (eV/f.u.) = -53.793
- magnetic moment (Bohr magnetons per cell) = 13.0

Record 3
Below is a geometry-optimized FeRh structure, with properties calculated at the GGA-PBE level.

Cell lengths 4.9095, 4.9095, 4.9521 Å; angles 90.00, 90.00, 90.00 degrees
Closest atoms and distances in Å follow each position.
Sites, in units of the cell vectors:
Fe: 0.1988 0.8012 0.0000  6 Rh 2.48-2.51, 1 Fe 2.76
Fe: 0.6988 0.6988 0.5000  6 Rh 2.48-2.51, 1 Fe 2.76
Fe: 0.3012 0.3012 0.5000  6 Rh 2.48-2.51, 1 Fe 2.76
Fe: 0.8012 0.1988 0.0000  6 Rh 2.48-2.51, 1 Fe 2.76
Rh: 0.2993 0.2993 0.0000  6 Fe 2.48-2.51
Rh: 0.7993 0.2007 0.5000  6 Fe 2.48-2.51
Rh: 0.2007 0.7993 0.5000  6 Fe 2.48-2.51
Rh: 0.7007 0.7007 0.0000  6 Fe 2.48-2.51

## Properties
- E_form (eV/atom) = 0.496
- total DFT energy (no corrections) (eV/f.u.) = -14.821
- magnetic moment (Bohr magnetons per cell) = 14.1

Record 4
Below is a geometry-optimized FeRh2 structure, with properties calculated at the GGA-PBE level.

Cell lengths 2.7207, 6.5633, 4.5951 Å; angles 92.53, 90.00, 90.00 degrees
Closest atoms and distances in Å follow each position.
Sites, in units of the cell vectors:
Fe: 0.0000 0.0027 0.9864  9 Rh 2.61-2.67, 3 Fe 2.72-2.83
Fe: 0.0000 0.6640 0.3470  9 Rh 2.61-2.67, 3 Fe 2.72-2.83
Rh: 0.5000 0.3333 0.1667  4 Fe 2.66, 8 Rh 2.67-2.72
Rh: 0.5000 0.9940 0.4864  6 Fe 2.61-2.67, 6 Rh 2.71-2.74
Rh: 0.0000 0.3333 0.6667  10 Rh 2.67-2.72, 2 Fe 2.67
Rh: 0.5000 0.6727 0.8470  6 Fe 2.61-2.67, 6 Rh 2.71-2.74

## Properties
- E_form (eV/atom) = -0.015
- total DFT energy (no corrections) (eV/f.u.) = -23.210
- magnetic moment (Bohr magnetons per cell) = 6.9

Record 5
Below is a geometry-optimized FeRh structure, with properties calculated at the GGA-PBE level.

Cell lengths 2.8491, 2.8493, 6.5451 Å; angles 90.00, 89.98, 90.00 degrees
Closest atoms and distances in Å follow each position.
Sites, in units of the cell vectors:
Rh: 0.7499 0.7500 0.6478  4 Fe 2.56, 8 Rh 2.79-2.85
Rh: 0.2501 0.2500 0.3522  4 Fe 2.56, 8 Rh 2.79-2.85
Fe: 0.7500 0.7500 0.1114  4 Fe 2.49, 4 Rh 2.56
Fe: 0.2500 0.2500 0.8886  4 Fe 2.49, 4 Rh 2.56

## Properties
- E_form (eV/atom) = 0.016
- total DFT energy (no corrections) (eV/f.u.) = -15.782
- magnetic moment (Bohr magnetons per cell) = 6.8

Record 6
Below is a geometry-optimized FeRh2 structure, with properties calculated at the GGA-PBE level.

Cell lengths 2.6917, 5.1261, 6.3676 Å; angles 77.15, 102.22, 105.23 degrees
Closest atoms and distances in Å follow each position.
Sites, in units of the cell vectors:
Fe: 0.7923 0.9933 0.0030  1 Fe 2.36, 6 Rh 2.53-2.63
Fe: 0.0410 0.1734 0.3304  1 Fe 2.36, 6 Rh 2.53-2.63
Rh: 0.7771 0.3274 0.6445  3 Fe 2.53-2.60, 9 Rh 2.59-2.81
Rh: 0.5254 0.4627 0.0055  5 Fe 2.62-2.69, 8 Rh 2.69-2.85
Rh: 0.3079 0.7039 0.3278  5 Fe 2.62-2.69, 8 Rh 2.69-2.85
Rh: 0.0562 0.8393 0.6888  3 Fe 2.53-2.60, 9 Rh 2.59-2.81

## Properties
- E_form (eV/atom) = 0.019
- total DFT energy (no corrections) (eV/f.u.) = -23.107
- magnetic moment (Bohr magnetons per cell) = 6.6